Record 1
A plane-wave DFT calculation with PBE was carried out for crystalline Ti2CrMoAu at its relaxed geometry.

The space group is P4/mmm (No. 123) and the conventional cell measures 4.3028, 4.3028 and 4.8803 Å, with angles of 90.00, 90.00 and 90.00 degrees. Symmetry generates all atoms from Ti at (0.0000, 0.5000, 0.0000), Cr at (0.0000, 0.0000, 0.0000), Mo at (0.5000, 0.5000, 0.5000) and Au at (0.0000, 0.0000, 0.5000).

The crystal system is tetragonal. The energy relative to the elements comes out at 438 kJ/mol of formula units.


Record 2
A plane-wave DFT calculation with PBE was carried out for crystalline Li2EuIn at its relaxed geometry.

The space group is Fmmm (No. 69) and the conventional cell measures 7.1340, 7.1852 and 7.2172 Å, with angles of 90.00, 90.00 and 90.00 degrees. Symmetry generates all atoms from Li at (0.2500, 0.2500, 0.2500), Eu at (0.0000, 0.0000, 0.0000) and In at (0.0000, 0.0000, 0.5000).

The crystal system is orthorhombic. The energy relative to the elements comes out at -92 kJ/mol of formula units.


Record 3
A plane-wave DFT calculation with PBE was carried out for crystalline Zn2NiMo at its relaxed geometry.

The space group is R3m (No. 160, hexagonal axes) and the conventional cell measures 2.7315, 2.7315 and 25.8947 Å, with angles of 90.00, 90.00 and 120.00 degrees. Symmetry generates all atoms from Zn at (0.0000, 0.0000, 0.0000), Zn at (0.0000, 0.0000, 0.1802), Ni at (0.0000, 0.0000, 0.5902) and Mo at (0.0000, 0.0000, 0.4236).

As for the offset from the most stable computed form: 145 meV per atom. The crystal system is trigonal. The energy relative to the elements comes out at 34 kJ/mol of formula units.


Record 4
A plane-wave DFT calculation with PBE was carried out for crystalline Rb2Na at its relaxed geometry.

The space group is C2/m (No. 12) and the conventional cell measures 12.0056, 7.3937 and 4.7806 Å, with angles of 90.00, 93.57 and 90.00 degrees. Symmetry generates all atoms from Rb at (0.1708, 0.0000, 0.3072) and Na at (0.0000, 0.5000, 0.0000).

As for the offset from the most stable computed form: 31 meV per atom. The crystal system is monoclinic. The energy relative to the elements comes out at 14 kJ/mol of formula units.


Record 5
A plane-wave DFT calculation with PBE was carried out for crystalline Al2VPb2 at its relaxed geometry.

The space group is P4/mbm (No. 127) and the conventional cell measures 7.6297, 7.6297 and 4.0507 Å, with angles of 90.00, 90.00 and 90.00 degrees. Symmetry generates all atoms from Al at (0.1374, 0.3626, 0.0000), V at (0.0000, 0.0000, 0.5000) and Pb at (0.1623, 0.6623, 0.5000).

As for the offset from the most stable computed form: 109 meV per atom. The crystal system is tetragonal. The energy relative to the elements comes out at 288 kJ/mol of formula units.


Record 6
A plane-wave DFT calculation with PBE was carried out for crystalline Al2Zn2Ge at its relaxed geometry.

The space group is P4/mbm (No. 127) and the conventional cell measures 7.7494, 7.7494 and 2.8509 Å, with angles of 90.00, 90.00 and 90.00 degrees. Symmetry generates all atoms from Al at (0.1785, 0.3215, 0.0000), Zn at (0.1207, 0.6207, 0.5000) and Ge at (0.0000, 0.0000, 0.5000).

As for the offset from the most stable computed form: 0 meV per atom. The crystal system is tetragonal. The energy relative to the elements comes out at 77 kJ/mol of formula units.


Record 7
A plane-wave DFT calculation with PBE was carried out for crystalline Pm4Cd3 at its relaxed geometry.

The space group is C2/m (No. 12) and the conventional cell measures 12.9788, 5.5121 and 6.6498 Å, with angles of 90.00, 115.19 and 90.00 degrees. Symmetry generates all atoms from Pm at (0.0419, 0.0000, 0.2845), Pm at (0.1551, 0.5000, 0.7222), Cd at (0.0000, 0.5000, 0.0000) and Cd at (0.2290, 0.5000, 0.2951).

As for the offset from the most stable computed form: 28 meV per atom. The crystal system is monoclinic. The energy relative to the elements comes out at -89 kJ/mol of formula units.


Record 8
A plane-wave DFT calculation with PBE was carried out for crystalline Ba3Se at its relaxed geometry.

The space group is I4/mmm (No. 139) and the conventional cell measures 5.1346, 5.1346 and 29.8220 Å, with angles of 90.00, 90.00 and 90.00 degrees. Symmetry generates all atoms from Ba at (0.0000, 0.0000, 0.1188), Ba at (0.0000, 0.5000, 0.0000), Ba at (0.0000, 0.5000, 0.2500) and Se at (0.0000, 0.0000, 0.4258).

As for the offset from the most stable computed form: 298 meV per atom. The formation energy (no corrections) is -0.63 eV per atom. The crystal system is tetragonal.


Record 9
A plane-wave DFT calculation with PBE was carried out for crystalline PuScAs2 at its relaxed geometry.

The space group is R-3m (No. 166, hexagonal axes) and the conventional cell measures 4.0244, 4.0244 and 19.4479 Å, with angles of 90.00, 90.00 and 120.00 degrees. Symmetry generates all atoms from Pu at (0.0000, 0.0000, 0.0000), Sc at (0.0000, 0.0000, 0.5000) and As at (0.0000, 0.0000, 0.2456).

The crystal system is trigonal. The energy relative to the elements comes out at -459 kJ/mol of formula units.


Record 10
A plane-wave DFT calculation with PBE was carried out for crystalline PrHoRh at its relaxed geometry.

The space group is P3m1 (No. 156) and the conventional cell measures 4.0904, 4.0904 and 6.2691 Å, with angles of 90.00, 90.00 and 120.00 degrees. Symmetry generates all atoms from Pr at (0.0000, 0.0000, 0.0000), Ho at (0.6667, 0.3333, 0.4781) and Rh at (0.3333, 0.6667, 0.2551).

As for the offset from the most stable computed form: 112 meV per atom. The crystal system is trigonal. The energy relative to the elements comes out at -135 kJ/mol of formula units.


Record 11
A plane-wave DFT calculation with PBE was carried out for crystalline Na2TlIO6 at its relaxed geometry.

The space group is R-3 (No. 148, hexagonal axes) and the conventional cell measures 5.7477, 5.7477 and 13.7930 Å, with angles of 90.00, 90.00 and 120.00 degrees. Symmetry generates all atoms from Na at (0.0000, 0.0000, 0.2377), Tl at (0.0000, 0.0000, 0.5000), I at (0.0000, 0.0000, 0.0000) and O at (0.0417, 0.6223, 0.7467).

The formation energy (no corrections) is -0.85 eV per atom. The crystal system is trigonal.


Record 12
A plane-wave DFT calculation with PBE was carried out for crystalline CaPb2Se4 at its relaxed geometry.

The space group is I4/mmm (No. 139) and the conventional cell measures 5.5707, 5.5707 and 14.7591 Å, with angles of 90.00, 90.00 and 90.00 degrees. Symmetry generates all atoms from Ca at (0.0000, 0.0000, 0.0000), Pb at (0.0000, 0.0000, 0.3860), Se at (0.0000, 0.0000, 0.2001) and Se at (0.0000, 0.5000, 0.0000).

The formation energy (no corrections) is -0.45 eV per atom. The crystal system is tetragonal.


Record 13
A plane-wave DFT calculation with PBE was carried out for crystalline PrGa2NiPt4 at its relaxed geometry.

The space group is R-3m (No. 166, hexagonal axes) and the conventional cell measures 4.2965, 4.2965 and 26.3080 Å, with angles of 90.00, 90.00 and 120.00 degrees. Symmetry generates all atoms from Pr at (0.0000, 0.0000, 0.0000), Ga at (0.0000, 0.0000, 0.2372), Ni at (0.0000, 0.0000, 0.5000), Pt at (0.0000, 0.0000, 0.1341) and Pt at (0.0000, 0.0000, 0.4039).

The crystal system is trigonal. The energy relative to the elements comes out at -517 kJ/mol of formula units.